Entry 1:
Material: Tl3CdCu2Cl9
Method: DFT, GGA-PBE
State: optimized geometry

## Properties
DOS(E_F) ... 4.02 states/eV/f.u.
Energy relative to the elements, uncorrected ... -1140 kJ/mol of formula units
Raw total energy ... -2.976 eV/atom

a = 7.052 Å, b = 7.052 Å, c = 8.692 Å
α = 90.00°, β = 90.00°, γ = 120.00°
Positions (direct):
Tl (0.333, 0.667, 0.672)
Cl (0.828, 0.655, 0.679)
Cu (0.333, 0.667, 0.156)
Cu (0.667, 0.333, 0.844)
Cl (0.000, 0.500, 0.000)
Cd (0.000, 0.000, 0.500)
Cl (0.172, 0.828, 0.321)
Cl (0.828, 0.172, 0.679)
Tl (0.667, 0.333, 0.328)
Tl (0.000, 0.000, 0.000)
Cl (0.345, 0.172, 0.679)
Cl (0.500, 0.000, 0.000)
Cl (0.500, 0.500, 0.000)
Cl (0.172, 0.345, 0.321)
Cl (0.655, 0.828, 0.321)


Entry 2:
Material: Ta2FePt
Method: DFT, GGA-PBE
State: optimized geometry

## Properties
DOS(E_F) ... 4.65 states/eV/f.u.
Energy relative to the lowest polymorph listed for this composition ... 395 meV/atom
Raw total energy ... -9.521 eV/atom

a = 9.009 Å, b = 9.009 Å, c = 9.009 Å
α = 18.67°, β = 18.67°, γ = 18.67°
Positions (direct):
Pt (0.754, 0.754, 0.754)
Fe (0.501, 0.501, 0.501)
Ta (0.242, 0.242, 0.242)
Ta (0.003, 0.003, 0.003)


Entry 3:
Material: Dy4Ho
Method: DFT, GGA-PBE
State: optimized geometry

## Properties
DOS(E_F) ... 6.99 states/eV/f.u.
Energy relative to the lowest polymorph listed for this composition ... 701 meV/atom
Raw total energy ... -3.878 eV/atom

a = 5.613 Å, b = 5.613 Å, c = 5.613 Å
α = 90.00°, β = 90.00°, γ = 90.00°
Positions (direct):
Dy (0.500, 0.000, 0.500)
Ho (0.500, 0.500, 0.500)
Dy (0.000, 0.500, 0.500)
Dy (0.000, 0.000, 0.000)
Dy (0.500, 0.500, 0.000)


Entry 4:
Material: Dy3CuIr
Method: DFT, GGA-PBE
State: optimized geometry

## Properties
DOS(E_F) ... 4.12 states/eV/f.u.
Raw total energy ... -5.815 eV/atom

a = 5.713 Å, b = 6.201 Å, c = 8.468 Å
α = 112.53°, β = 77.95°, γ = 122.96°
Positions (direct):
Dy (0.141, 0.224, 0.295)
Ir (0.000, 0.750, 0.000)
Cu (0.499, 0.192, 0.495)
Dy (0.500, 0.813, 0.121)
Cu (0.501, 0.808, 0.505)
Dy (0.500, 0.187, 0.879)
Dy (0.142, 0.418, 0.706)
Dy (0.858, 0.582, 0.294)
Dy (0.859, 0.776, 0.705)
Ir (0.000, 0.250, 0.000)


Entry 5:
Material: Ac3PmPb
Method: DFT, GGA-PBE
State: optimized geometry

## Properties
DOS(E_F) ... 6.45 states/eV/f.u.
Raw total energy ... -4.306 eV/atom

a = 4.043 Å, b = 8.081 Å, c = 13.653 Å
α = 69.61°, β = 90.06°, γ = 75.50°
Positions (direct):
Ac (0.183, 0.203, 0.000)
Pb (0.542, 0.489, 0.334)
Ac (0.212, 0.146, 0.298)
Ac (0.505, 0.557, 0.059)
Pm (0.872, 0.826, 0.182)
Ac (0.962, 0.649, 0.491)
Pm (0.816, 0.934, 0.878)
Pb (0.146, 0.272, 0.725)
Ac (0.727, 0.112, 0.569)
Ac (0.476, 0.615, 0.761)


Entry 6:
Material: PmDy2ErSc
Method: DFT, GGA-PBE
State: optimized geometry

## Properties
DOS(E_F) ... 6.52 states/eV/f.u.
Raw total energy ... -4.628 eV/atom

a = 7.080 Å, b = 8.173 Å, c = 6.942 Å
α = 126.06°, β = 90.00°, γ = 90.00°
Positions (direct):
Dy (0.500, 0.303, 0.000)
Pm (0.750, 0.270, 0.540)
Er (0.750, 0.733, 0.467)
Er (0.250, 0.267, 0.533)
Dy (0.000, 0.303, 0.000)
Pm (0.250, 0.730, 0.460)
Dy (0.500, 0.697, 0.000)
Dy (0.000, 0.697, 0.000)
Sc (0.250, 0.995, 0.990)
Sc (0.750, 0.005, 0.010)


Entry 7:
Material: Ca2NdPb9
Method: DFT, GGA-PBE
State: optimized geometry

## Properties
DOS(E_F) ... 3.79 states/eV/f.u.
Raw total energy ... -3.855 eV/atom

a = 4.926 Å, b = 4.926 Å, c = 14.862 Å
α = 90.00°, β = 90.00°, γ = 90.00°
Positions (direct):
Pb (0.500, 0.500, 0.000)
Ca (0.000, 0.000, 0.667)
Nd (0.000, 0.000, 0.000)
Pb (0.500, 0.000, 0.500)
Pb (0.000, 0.500, 0.500)
Pb (0.500, 0.000, 0.168)
Pb (0.000, 0.500, 0.832)
Pb (0.500, 0.500, 0.666)
Pb (0.500, 0.000, 0.832)
Pb (0.000, 0.500, 0.168)
Ca (0.000, 0.000, 0.333)
Pb (0.500, 0.500, 0.334)


Entry 8:
Material: LiMgZr2O
Method: DFT, GGA-PBE
State: optimized geometry

## Properties
DOS(E_F) ... 3.64 states/eV/f.u.
Energy relative to the elements, uncorrected ... -456 kJ/mol of formula units
Raw total energy ... -6.058 eV/atom

a = 4.474 Å, b = 4.474 Å, c = 4.283 Å
α = 90.00°, β = 90.00°, γ = 90.00°
Positions (direct):
O (0.000, 0.000, 0.000)
Li (0.000, 0.000, 0.500)
Zr (0.000, 0.500, 0.000)
Mg (0.500, 0.500, 0.500)
Zr (0.500, 0.000, 0.000)


Entry 9:
Material: CaCd2Au5
Method: DFT, GGA-PBE
State: optimized geometry

## Properties
DOS(E_F) ... 2.70 states/eV/f.u.
Raw total energy ... -2.857 eV/atom

a = 4.503 Å, b = 7.741 Å, c = 7.741 Å
α = 43.04°, β = 73.09°, γ = 73.09°
Positions (direct):
Au (0.612, 0.635, 0.141)
Cd (0.788, 0.712, 0.712)
Ca (0.000, 0.000, 0.000)
Au (0.388, 0.859, 0.365)
Au (0.388, 0.365, 0.859)
Au (0.612, 0.141, 0.635)
Au (0.000, 0.500, 0.500)
Cd (0.212, 0.288, 0.288)


Entry 10:
Material: Mn2ZnGa
Method: DFT, GGA-PBE
State: optimized geometry

## Properties
DOS(E_F) ... 4.52 states/eV/f.u.
Raw total energy ... -5.350 eV/atom

a = 4.167 Å, b = 4.167 Å, c = 4.923 Å
α = 64.97°, β = 64.97°, γ = 60.00°
Positions (direct):
Mn (0.062, 0.062, 0.815)
Ga (0.682, 0.682, 0.954)
Mn (0.273, 0.273, 0.180)
Zn (0.483, 0.483, 0.551)


Entry 11:
Material: CaYTa2
Method: DFT, GGA-PBE
State: optimized geometry

## Properties
DOS(E_F) ... 4.88 states/eV/f.u.
Energy relative to the lowest polymorph listed for this composition ... 283 meV/atom
Raw total energy ... -7.483 eV/atom

a = 6.235 Å, b = 6.235 Å, c = 6.235 Å
α = 148.57°, β = 126.17°, γ = 63.67°
Positions (direct):
Ca (0.231, 0.731, 0.500)
Ta (0.966, 0.966, 0.000)
Ta (0.780, 0.280, 0.500)
Y (0.523, 0.523, 0.000)


Entry 12:
Material: TbNdCd4
Method: DFT, GGA-PBE
State: optimized geometry

## Properties
DOS(E_F) ... 4.42 states/eV/f.u.
Energy relative to the lowest polymorph listed for this composition ... 0 meV/atom
Raw total energy ... -2.509 eV/atom

a = 3.447 Å, b = 6.107 Å, c = 8.727 Å
α = 90.00°, β = 90.00°, γ = 55.63°
Positions (direct):
Cd (0.501, 0.997, 0.828)
Cd (0.501, 0.997, 0.168)
Cd (0.001, 0.497, 0.335)
Nd (0.501, 0.497, 0.998)
Cd (0.002, 0.497, 0.662)
Tb (0.001, 0.997, 0.498)